CoCuCl: optimized geometry, PBE.

## Properties
As for the energy above the most stable polymorph in this dataset: 0 meV per atom. The crystal system is trigonal. As for the calculated volume: 45.4 Å³/f.u. Its raw total energy is -4.096 eV per atom.

abc: 3.0417 3.0417 5.6655
angles: 90.00 90.00 120.00
Space group P3m1 (No. 156)
Symmetry-distinct sites (fractional):
Co: 0.0000 0.0000 0.0000
Cu: 0.6667 0.3333 0.3116
Cl: 0.3333 0.6667 0.7253